Material: InReCl2
Method: DFT, PBE
State: optimized geometry

Distance to the lowest polymorph of the same formula (meV per atom): 984.6
Total magnetization (μB/cell): 16.1

Structure (CIF):
```
data_InReCl2
_chemical_formula_sum 'In4 Re4 Cl8'
_cell_length_a 7.002
_cell_length_b 7.002
_cell_length_c 7.002
_cell_angle_alpha 90.00
_cell_angle_beta 90.00
_cell_angle_gamma 90.00
_space_group_name_H-M_alt 'F -4 3 m'
_space_group_IT_number 216
_space_group_name_Hall 'F -4 2 3'
loop_
_atom_site_label
_atom_site_type_symbol
_atom_site_fract_x
_atom_site_fract_y
_atom_site_fract_z
In1 In 0.000 0.000 0.000
Re1 Re 0.250 0.250 0.750
Cl1 Cl 0.000 0.000 0.500
Cl2 Cl 0.250 0.250 0.250
```

Material: In4ReCl
Method: DFT, PBE
State: optimized geometry

Total magnetization (μB/cell): 13.1

Structure (CIF):
```
data_In4ReCl
_chemical_formula_sum 'In16 Re4 Cl4'
_cell_length_a 8.426
_cell_length_b 8.426
_cell_length_c 8.426
_cell_angle_alpha 90.00
_cell_angle_beta 90.00
_cell_angle_gamma 90.00
_space_group_name_H-M_alt 'F -4 3 m'
_space_group_IT_number 216
_space_group_name_Hall 'F -4 2 3'
loop_
_atom_site_label
_atom_site_type_symbol
_atom_site_fract_x
_atom_site_fract_y
_atom_site_fract_z
In1 In 0.125 0.125 0.125
Re1 Re 0.250 0.250 0.750
Cl1 Cl 0.000 0.000 0.500
```

Material: InReCl2
Method: DFT, PBE
State: optimized geometry

Distance to the lowest polymorph of the same formula (meV per atom): 0.0
Total magnetization (μB/cell): 0.4

Structure (CIF):
```
data_InReCl2
_chemical_formula_sum 'In1 Re1 Cl2'
_cell_length_a 4.556
_cell_length_b 3.156
_cell_length_c 7.314
_cell_angle_alpha 90.00
_cell_angle_beta 106.14
_cell_angle_gamma 90.00
_space_group_name_H-M_alt 'P 1 m 1'
_space_group_IT_number 6
_space_group_name_Hall 'P -2y'
loop_
_atom_site_label
_atom_site_type_symbol
_atom_site_fract_x
_atom_site_fract_y
_atom_site_fract_z
In1 In 0.000 0.000 0.000
Re1 Re 0.473 0.500 0.942
Cl1 Cl 0.352 0.000 0.684
Cl2 Cl 0.667 0.500 0.279
```

Material: InRe2Cl
Method: DFT, PBE
State: optimized geometry

Distance to the lowest polymorph of the same formula (meV per atom): 136.8
Total magnetization (μB/cell): 0.0

Structure (CIF):
```
data_InRe2Cl
_chemical_formula_sum 'In1 Re2 Cl1'
_cell_length_a 3.004
_cell_length_b 3.004
_cell_length_c 8.124
_cell_angle_alpha 90.00
_cell_angle_beta 90.00
_cell_angle_gamma 90.00
_space_group_name_H-M_alt 'P 4 m m'
_space_group_IT_number 99
_space_group_name_Hall 'P 4 -2'
loop_
_atom_site_label
_atom_site_type_symbol
_atom_site_fract_x
_atom_site_fract_y
_atom_site_fract_z
In1 In 0.000 0.000 0.000
Re1 Re 0.000 0.000 0.437
Re2 Re 0.500 0.500 0.252
Cl1 Cl 0.500 0.500 0.670
```

Material: InReCl2
Method: DFT, PBE
State: optimized geometry

Distance to the lowest polymorph of the same formula (meV per atom): 102.6
Total magnetization (μB/cell): 1.0

Structure (CIF):
```
data_InReCl2
_chemical_formula_sum 'In2 Re2 Cl4'
_cell_length_a 14.072
_cell_length_b 3.040
_cell_length_c 4.990
_cell_angle_alpha 90.00
_cell_angle_beta 110.71
_cell_angle_gamma 90.00
_space_group_name_H-M_alt 'C 1 2/m 1'
_space_group_IT_number 12
_space_group_name_Hall '-C 2y'
loop_
_atom_site_label
_atom_site_type_symbol
_atom_site_fract_x
_atom_site_fract_y
_atom_site_fract_z
In1 In 0.000 0.000 0.000
Re1 Re 0.000 0.500 0.500
Cl1 Cl 0.149 0.000 0.649
```

Material: InReCl2
Method: DFT, PBE
State: optimized geometry

Distance to the lowest polymorph of the same formula (meV per atom): 948.4
Total magnetization (μB/cell): 3.9

Structure (CIF):
```
data_InReCl2
_chemical_formula_sum 'In1 Re1 Cl2'
_cell_length_a 4.481
_cell_length_b 4.481
_cell_length_c 4.369
_cell_angle_alpha 90.00
_cell_angle_beta 90.00
_cell_angle_gamma 90.00
_space_group_name_H-M_alt 'P 4/m m m'
_space_group_IT_number 123
_space_group_name_Hall '-P 4 2'
loop_
_atom_site_label
_atom_site_type_symbol
_atom_site_fract_x
_atom_site_fract_y
_atom_site_fract_z
In1 In 0.000 0.000 0.000
Re1 Re 0.500 0.500 0.000
Cl1 Cl 0.000 0.500 0.500
```

Material: InReCl2
Method: DFT, PBE
State: optimized geometry

Distance to the lowest polymorph of the same formula (meV per atom): 904.1
Total magnetization (μB/cell): 8.6

Structure (CIF):
```
data_InReCl2
_chemical_formula_sum 'In2 Re2 Cl4'
_cell_length_a 4.039
_cell_length_b 4.039
_cell_length_c 11.483
_cell_angle_alpha 90.00
_cell_angle_beta 90.00
_cell_angle_gamma 90.00
_space_group_name_H-M_alt 'I -4 m 2'
_space_group_IT_number 119
_space_group_name_Hall 'I -4 -2'
loop_
_atom_site_label
_atom_site_type_symbol
_atom_site_fract_x
_atom_site_fract_y
_atom_site_fract_z
In1 In 0.000 0.000 0.000
Re1 Re 0.000 0.500 0.750
Cl1 Cl 0.000 0.000 0.500
Cl2 Cl 0.000 0.500 0.250
```

Material: InRe2Cl
Method: DFT, PBE
State: optimized geometry

Distance to the lowest polymorph of the same formula (meV per atom): 1159.3
Total magnetization (μB/cell): 0.0

Structure (CIF):
```
data_InRe2Cl
_chemical_formula_sum 'In2 Re4 Cl2'
_cell_length_a 3.652
_cell_length_b 3.652
_cell_length_c 12.387
_cell_angle_alpha 90.00
_cell_angle_beta 90.00
_cell_angle_gamma 90.00
_space_group_name_H-M_alt 'I 4/m m m'
_space_group_IT_number 139
_space_group_name_Hall '-I 4 2'
loop_
_atom_site_label
_atom_site_type_symbol
_atom_site_fract_x
_atom_site_fract_y
_atom_site_fract_z
In1 In 0.000 0.000 0.000
Re1 Re 0.000 0.500 0.250
Cl1 Cl 0.000 0.000 0.500
```

Material: InReCl
Method: DFT, PBE
State: optimized geometry

Distance to the lowest polymorph of the same formula (meV per atom): 0.0
Total magnetization (μB/cell): 0.0

Structure (CIF):
```
data_InReCl
_chemical_formula_sum 'In1 Re1 Cl1'
_cell_length_a 3.0057
_cell_length_b 3.0057
_cell_length_c 7.8241
_cell_angle_alpha 90.00
_cell_angle_beta 90.00
_cell_angle_gamma 120.00
_space_group_name_H-M_alt 'P 3 m 1'
_space_group_IT_number 156
_space_group_name_Hall 'P 3 -2"'
loop_
_atom_site_label
_atom_site_type_symbol
_atom_site_fract_x
_atom_site_fract_y
_atom_site_fract_z
In1 In 0.0000 0.0000 0.0000
Re1 Re 0.6667 0.3333 0.3193
Cl1 Cl 0.3333 0.6667 0.5429
```

Material: InReCl2
Method: DFT, PBE
State: optimized geometry

Distance to the lowest polymorph of the same formula (meV per atom): 67.3
Total magnetization (μB/cell): 1.5

Structure (CIF):
```
data_InReCl2
_chemical_formula_sum 'In2 Re2 Cl4'
_cell_length_a 10.507
_cell_length_b 3.076
_cell_length_c 6.945
_cell_angle_alpha 90.00
_cell_angle_beta 113.75
_cell_angle_gamma 90.00
_space_group_name_H-M_alt 'C 1 m 1'
_space_group_IT_number 8
_space_group_name_Hall 'C -2y'
loop_
_atom_site_label
_atom_site_type_symbol
_atom_site_fract_x
_atom_site_fract_y
_atom_site_fract_z
In1 In 0.000 0.000 0.000
Re1 Re 0.268 0.000 0.000
Cl1 Cl 0.173 0.500 0.704
Cl2 Cl 0.331 0.500 0.296
```

| no. | ΔE_f (raw) (eV/atom) | final energy (eV for the cell shown) |
| --- | --- | --- |
| 1 | 0.96 | -60.13 |
| 2 | 0.79 | -82.09 |
| 3 | -0.02 | -18.97 |
| 4 | 0.24 | -28.52 |
| 5 | 0.08 | -37.12 |
| 6 | 0.93 | -15.18 |
| 7 | 0.88 | -30.71 |
| 8 | 1.26 | -48.85 |
| 9 | 0.52 | -15.48 |
| 10 | 0.04 | -37.40 |